Below is a relaxed Sm2VCdO6 crystal, with properties calculated at the PBE with a Hubbard U level.

Properties
- electronic total energy (eV/atom) = -7.307
- DOS at the Fermi energy (states/eV/cell) = 0.0
- calculated volume (Å³/cell) = 262

Lattice parameters (Å, degrees): 5.4901 5.9042 9.7549 90.00 124.11 90.00
Space group P2_1/c (No. 14)
Asymmetric unit:
Sm 0.2333 0.0675 0.2524 [4 per cell]
V 0.0000 0.0000 0.5000 [2 per cell]
Cd 0.5000 0.0000 0.0000 [2 per cell]
O 0.0936 0.2135 0.9232 [4 per cell]
O 0.2300 0.6684 0.9464 [4 per cell]
O 0.3574 0.0601 0.7292 [4 per cell]